Here is a relaxed structure of Mg2Ag2Se from Alexandria. Energies are from GGA-PBEsol.

Cell: 3.695 3.695 14.941 Å, 90.00 90.00 90.00°
Fractional coordinates of all 10 atoms:
Mg1 0.000 0.000 0.101
Mg2 0.000 0.000 0.899
Mg3 0.500 0.500 0.399
Mg4 0.500 0.500 0.601
Ag1 0.000 0.500 0.250
Ag2 0.000 0.500 0.750
Ag3 0.500 0.000 0.250
Ag4 0.500 0.000 0.750
Se1 0.000 0.000 0.500
Se2 0.500 0.500 0.000

Calculated values
raw total energy = -3.055 eV/atom
uncorrected formation energy = -0.2732 eV per atom
calculated volume = 204.0 Å³ per cell

***

Here is a relaxed structure of ScCd2Br from Alexandria. Energies are from GGA-PBEsol.

Cell: 4.414 4.414 9.005 Å, 90.00 90.00 90.00°
Fractional coordinates of all 8 atoms:
Sc1 0.000 0.000 0.000
Sc2 0.500 0.500 0.500
Cd1 0.000 0.000 0.500
Cd2 0.000 0.500 0.750
Cd3 0.500 0.000 0.250
Cd4 0.500 0.500 0.000
Br1 0.000 0.500 0.250
Br2 0.500 0.000 0.750

Calculated values
raw total energy = -2.951 eV/atom
uncorrected formation energy = -0.2334 eV per atom
calculated volume = 175.5 Å³ per cell

***

Here is a relaxed structure of FeHgBiW2 from Alexandria. Energies are from GGA-PBEsol.

Cell: 5.051 5.051 5.292 Å, 90.00 90.00 90.00°
Fractional coordinates of all 5 atoms:
Fe1 0.000 0.000 0.000
Hg1 0.500 0.500 0.000
Bi1 0.500 0.500 0.500
W1 0.000 0.500 0.500
W2 0.500 0.000 0.500

Calculated values
raw total energy = -5.175 eV/atom
energy of formation = 3.11 eV per atom
calculated volume = 135.0 Å³ per cell

***

Here is a relaxed structure of Ba2YGaTe5 from Alexandria. Energies are from GGA-PBEsol.

Cell: 10.269 10.269 13.910 Å, 90.00 90.00 155.00°
Fractional coordinates of all 18 atoms:
Ba1 0.121 0.879 0.500
Ba2 0.127 0.873 0.865
Ba3 0.873 0.127 0.365
Ba4 0.879 0.121 0.000
Y1 0.206 0.794 0.165
Y2 0.794 0.206 0.665
Ga1 0.440 0.560 0.755
Ga2 0.560 0.440 0.255
Te1 0.046 0.954 0.144
Te2 0.295 0.705 0.519
Te3 0.312 0.688 0.819
Te4 0.353 0.647 0.181
Te5 0.499 0.501 0.419
Te6 0.501 0.499 0.919
Te7 0.647 0.353 0.681
Te8 0.688 0.312 0.319
Te9 0.705 0.295 0.019
Te10 0.954 0.046 0.644

Calculated values
raw total energy = -4.851 eV/atom
uncorrected formation energy = -1.2857 eV per atom
calculated volume = 619.9 Å³ per cell

***

Here is a relaxed structure of LiTiP4O12 from Alexandria. Energies are from GGA-PBEsol.

Cell: 10.577 10.577 5.271 Å, 99.69 99.69 71.05°
Fractional coordinates of all 36 atoms:
Li1 0.091 0.091 0.015
Li2 0.909 0.909 0.985
Ti1 0.000 0.500 0.500
Ti2 0.500 0.000 0.500
P1 0.136 0.707 0.330
P2 0.196 0.436 0.038
P3 0.293 0.864 0.670
P4 0.436 0.196 0.038
P5 0.564 0.804 0.962
P6 0.707 0.136 0.330
P7 0.804 0.564 0.962
P8 0.864 0.293 0.670
O1 0.060 0.823 0.185
O2 0.064 0.659 0.499
O3 0.106 0.404 0.193
O4 0.163 0.420 0.748
O5 0.177 0.940 0.815
O6 0.211 0.582 0.132
O7 0.269 0.731 0.500
O8 0.341 0.936 0.501
O9 0.349 0.349 0.111
O10 0.404 0.106 0.193
O11 0.418 0.789 0.868
O12 0.420 0.163 0.748
O13 0.580 0.837 0.252
O14 0.582 0.211 0.132
O15 0.596 0.894 0.807
O16 0.651 0.651 0.889
O17 0.659 0.064 0.499
O18 0.731 0.269 0.500
O19 0.789 0.418 0.868
O20 0.823 0.060 0.185
O21 0.837 0.580 0.252
O22 0.894 0.596 0.807
O23 0.936 0.341 0.501
O24 0.940 0.177 0.815

Calculated values
raw total energy = -7.627 eV/atom
uncorrected formation energy = -2.2693 eV per atom
calculated volume = 545.6 Å³ per cell

***

Here is a relaxed structure of TlSbOs2 from Alexandria. Energies are from GGA-PBEsol.

Cell: 7.526 2.893 7.705 Å, 90.00 94.69 90.00°
Fractional coordinates of all 8 atoms:
Tl1 0.000 0.000 0.000
Tl2 0.500 0.500 0.000
Sb1 0.301 0.500 0.345
Sb2 0.801 0.000 0.345
Os1 0.033 0.500 0.578
Os2 0.272 0.000 0.732
Os3 0.533 0.000 0.578
Os4 0.772 0.500 0.732

Calculated values
raw total energy = -7.234 eV/atom
uncorrected formation energy = 0.6711 eV per atom
calculated volume = 167.2 Å³ per cell

***

Here is a relaxed structure of Sr2MgCuRh from Alexandria. Energies are from GGA-PBEsol.

Cell: 5.567 5.567 4.921 Å, 90.00 90.00 90.00°
Fractional coordinates of all 5 atoms:
Sr1 0.000 0.500 0.000
Sr2 0.500 0.000 0.000
Mg1 0.000 0.000 0.500
Cu1 0.500 0.500 0.500
Rh1 0.000 0.000 0.000

Calculated values
raw total energy = -3.395 eV/atom
energy of formation = 0.18 eV per atom
calculated volume = 152.5 Å³ per cell

***

Here is a relaxed structure of Zr5Au3 from Alexandria. Energies are from GGA-PBEsol.

Cell: 8.307 8.743 4.280 Å, 90.00 90.00 90.00°
Fractional coordinates of all 16 atoms:
Zr1 0.000 0.000 0.000
Zr2 0.000 0.269 0.500
Zr3 0.000 0.731 0.500
Zr4 0.250 0.250 0.000
Zr5 0.250 0.750 0.000
Zr6 0.500 0.231 0.500
Zr7 0.500 0.500 0.000
Zr8 0.500 0.769 0.500
Zr9 0.750 0.250 0.000
Zr10 0.750 0.750 0.000
Au1 0.000 0.500 0.000
Au2 0.242 0.000 0.500
Au3 0.258 0.500 0.500
Au4 0.500 0.000 0.000
Au5 0.742 0.500 0.500
Au6 0.758 0.000 0.500

Calculated values
raw total energy = -7.555 eV/atom
energy of formation = -0.40 eV per atom
offset from the most stable computed form = 54 meV per atom
calculated volume = 310.8 Å³ per cell

***

Here is a relaxed structure of Ta4InAg from Alexandria. Energies are from GGA-PBEsol.

Cell: 5.434 5.434 5.434 Å, 60.00 60.00 60.00°
Fractional coordinates of all 6 atoms:
Ta1 0.124 0.124 0.124
Ta2 0.124 0.124 0.627
Ta3 0.124 0.627 0.124
Ta4 0.627 0.124 0.124
In1 0.750 0.750 0.750
Ag1 0.500 0.500 0.500

Calculated values
raw total energy = -8.929 eV/atom
energy of formation = 0.49 eV per atom
calculated volume = 113.5 Å³ per cell

***

Here is a relaxed structure of Ta2BeTl from Alexandria. Energies are from GGA-PBEsol.

Cell: 3.798 4.036 4.339 Å, 90.00 90.00 90.00°
Fractional coordinates of all 4 atoms:
Ta1 0.000 0.000 0.000
Ta2 0.500 0.500 0.000
Be1 0.000 0.500 0.500
Tl1 0.500 0.000 0.500

Calculated values
raw total energy = -7.569 eV/atom
energy of formation = 0.36 eV per atom
offset from the most stable computed form = 0 meV per atom
calculated volume = 66.5 Å³ per cell

***

Here is a relaxed structure of CdFe2Cl from Alexandria. Energies are from GGA-PBEsol.

Cell: 2.811 5.177 8.605 Å, 90.00 90.00 90.00°
Fractional coordinates of all 8 atoms:
Cd1 0.000 0.000 0.000
Cd2 0.500 0.500 0.500
Fe1 0.000 0.500 0.226
Fe2 0.000 0.500 0.774
Fe3 0.500 0.000 0.274
Fe4 0.500 0.000 0.726
Cl1 0.000 0.000 0.500
Cl2 0.500 0.500 0.000

Calculated values
raw total energy = -4.802 eV/atom
uncorrected formation energy = 0.4805 eV per atom
offset from the most stable computed form = 159 meV per atom
calculated volume = 125.2 Å³ per cell

***

Here is a relaxed structure of Rb2ScTlI6 from Alexandria. Energies are from GGA-PBEsol.

Cell: 8.599 8.599 8.599 Å, 60.00 60.00 60.00°
Fractional coordinates of all 10 atoms:
Rb1 0.250 0.250 0.250
Rb2 0.750 0.750 0.750
Sc1 0.000 0.000 0.000
Tl1 0.500 0.500 0.500
I1 0.234 0.234 0.766
I2 0.234 0.766 0.234
I3 0.234 0.766 0.766
I4 0.766 0.234 0.234
I5 0.766 0.234 0.766
I6 0.766 0.766 0.234

Calculated values
raw total energy = -3.346 eV/atom
uncorrected formation energy = -1.1570 eV per atom
calculated volume = 449.7 Å³ per cell

***

Here is a relaxed structure of CaAu from Alexandria. Energies are from GGA-PBEsol.

Cell: 10.740 3.850 7.764 Å, 90.00 110.70 90.00°
Fractional coordinates of all 12 atoms:
Ca1 0.000 0.000 0.000
Ca2 0.146 0.500 0.702
Ca3 0.328 0.500 0.352
Ca4 0.500 0.500 0.000
Ca5 0.646 0.000 0.702
Ca6 0.828 0.000 0.352
Au1 0.121 0.000 0.397
Au2 0.286 0.000 0.020
Au3 0.365 0.000 0.692
Au4 0.621 0.500 0.397
Au5 0.786 0.500 0.020
Au6 0.865 0.500 0.692

Calculated values
raw total energy = -3.715 eV/atom
energy of formation = -0.69 eV per atom
calculated volume = 300.4 Å³ per cell